Entry 1:
# Sr2NbCrTc

A relaxed Sr2NbCrTc crystal (GGA-PBE, Alexandria).

Cell lengths 5.858, 4.665, 5.858 Å; angles 90.00, 90.00, 90.00 degrees
Fractional positions:
Cr: 0.500 0.500 0.500
Sr: 0.500 0.000 0.000
Sr: 0.000 0.000 0.500
Tc: 0.000 0.000 0.000
Nb: 0.000 0.500 0.000

---

Entry 2:
# SrNbCr2W

A relaxed SrNbCr2W crystal (GGA-PBE, Alexandria).

Cell lengths 4.935, 4.935, 4.919 Å; angles 90.00, 90.00, 90.00 degrees
Fractional positions:
Cr: 0.000 0.500 0.000
Cr: 0.500 0.000 0.000
W: 0.000 0.000 0.500
Sr: 0.500 0.500 0.500
Nb: 0.000 0.000 0.000

---

Entry 3:
# Ta2NbCr

A relaxed Ta2NbCr crystal (GGA-PBE, Alexandria).

Cell lengths 3.244, 4.530, 4.530 Å; angles 90.00, 90.00, 90.00 degrees
Fractional positions:
Ta: 0.000 0.000 0.500
Ta: 0.000 0.500 0.000
Nb: 0.500 0.000 0.000
Cr: 0.500 0.500 0.500

---

| no. | E (eV per atom) |
| --- | --- |
| 1 | -5.108 |
| 2 | -7.450 |
| 3 | -10.789 |